5
Lattice="5.3052 0.0000 0.0000 0.0000 5.3052 0.0000 0.0000 0.0000 4.6500" Properties=species:S:1:pos:R:3 comment="Sc2CdGeN, optimized geometry, DFT PBE-GGA" space_group="No. 123" crystal_system=tetragonal e_tot_ev_per_cell=-19.033 raw_formation_energy_kj_per_mol_fu=722 pbc="T T T"
Sc 0.0000 2.6526 0.0000
Sc 2.6526 0.0000 0.0000
Cd 0.0000 0.0000 0.0000
Ge 0.0000 0.0000 2.3250
N 2.6526 2.6526 2.3250